## BeSnH3 (meta-GGA SCAN)

Data for a crystal of BeSnH3 relaxed with PBEsol.

The structure in CIF format:
```
data_BeSnH3
_cell_length_a 3.9526
_cell_length_b 3.9526
_cell_length_c 3.9526
_cell_angle_alpha 90.00
_cell_angle_beta 90.00
_cell_angle_gamma 90.00
_symmetry_space_group_name_H-M 'P m -3 m'
_symmetry_Int_Tables_number 221
_symmetry_space_group_name_Hall '-P 4 2 3'
loop_
_atom_site_label
_atom_site_type_symbol
_atom_site_fract_x
_atom_site_fract_y
_atom_site_fract_z
Be1 Be 0.0000 0.0000 0.0000
Sn1 Sn 0.5000 0.5000 0.5000
H1 H 0.0000 0.5000 0.5000
```

crystal system = cubic
ΔE to the lowest computed polymorph = 429 meV/atom